Compound: ScFePb2
Source: Alexandria via LeMat-Bulk
Functional: PBE
Structure: relaxed

```
4
Lattice="-4.124 -4.669 -0.669 -1.956 -5.695 1.733 -3.578 0.153 3.295" Properties=species:S:1:pos:R:3 pbc="T T T"
Fe -7.259 -7.723 3.256
Sc -4.713 -4.618 2.283
Pb -3.666 -0.218 3.216
Pb -2.427 -2.604 1.079
```

Computed properties:
SG: Imm2, No. 44
Formation energy from the elements: 0.15 eV/atom
V: 91 Å³/f.u.